The following is a PBE calculation of crystalline NbCrSi at its relaxed geometry, from Alexandria.

extended XYZ file:
```
6
Lattice="4.362 -1.988 0.000 4.362 1.988 0.000 -0.548 0.000 5.086" Properties=species:S:1:pos:R:3 pbc="T T T"
Nb 0.000 0.000 0.000
Nb 6.030 0.000 1.414
Cr 3.204 0.000 2.620
Cr 5.647 0.000 3.903
Si 0.408 0.000 2.670
Si 2.150 0.000 4.991
```

Volume (Å³ per atom): 14.703
ΔE_f (raw) (eV per atom): -0.2245
Total energy (eV per atom): -8.60
D(E_F) (states/eV/atom): 0.8258



The following is a PBE calculation of crystalline Nb2Cr4Si5 at its relaxed geometry, from Alexandria.

extended XYZ file:
```
22
Lattice="-3.729 8.151 2.560 3.729 -8.151 2.560 3.729 8.151 -2.560" Properties=species:S:1:pos:R:3 pbc="T T T"
Nb 3.729 5.035 -1.280
Nb 0.000 3.117 1.280
Nb 3.729 5.035 1.280
Nb 0.000 3.117 3.840
Cr 1.865 0.969 0.000
Cr 4.634 2.288 0.000
Cr 0.905 5.863 0.000
Cr 1.865 -0.969 2.560
Cr 1.864 9.120 0.000
Cr 2.825 2.288 2.560
Cr -0.905 5.863 2.560
Cr 1.864 7.183 2.560
Si 6.797 0.982 0.000
Si 2.311 3.278 0.000
Si 3.729 0.000 1.280
Si 2.311 -3.278 2.560
Si 3.068 7.169 0.000
Si 0.661 0.982 2.560
Si 1.418 11.429 0.000
Si 0.000 8.151 1.280
Si 1.418 4.874 2.560
Si -3.068 7.169 2.560
```

Volume (Å³ per atom): 14.148
ΔE_f (raw) (eV per atom): -0.1860
Total energy (eV per atom): -7.98
D(E_F) (states/eV/atom): 0.6915



The following is a PBE calculation of crystalline NbCrSi2 at its relaxed geometry, from Alexandria.

extended XYZ file:
```
8
Lattice="-1.836 1.836 9.004 1.836 -1.836 9.004 1.836 1.836 -9.004" Properties=species:S:1:pos:R:3 pbc="T T T"
Nb 0.000 0.000 0.000
Nb 0.000 1.836 4.502
Cr 1.836 0.000 4.502
Cr 0.000 0.000 9.004
Si 0.918 -0.854 6.753
Si 0.982 0.918 2.251
Si 0.918 2.690 -2.251
Si 0.854 0.918 11.255
```

Volume (Å³ per atom): 15.179
ΔE_f (raw) (eV per atom): 0.1938
Total energy (eV per atom): -7.44
D(E_F) (states/eV/atom): 0.8575



The following is a PBE calculation of crystalline NbCrSi at its relaxed geometry, from Alexandria.

extended XYZ file:
```
6
Lattice="-2.063 2.975 3.566 2.063 -2.975 3.566 2.063 2.975 -3.566" Properties=species:S:1:pos:R:3 pbc="T T T"
Nb 0.000 0.000 0.000
Nb 0.000 2.975 0.627
Cr 2.063 -1.030 1.531
Cr 2.063 1.030 1.531
Si 2.063 1.669 -0.805
Si 0.000 1.306 2.761
```

Volume (Å³ per atom): 14.588
ΔE_f (raw) (eV per atom): -0.2016
Total energy (eV per atom): -8.57
D(E_F) (states/eV/atom): 0.7130



The following is a PBE calculation of crystalline NbCrSi3 at its relaxed geometry, from Alexandria.

extended XYZ file:
```
5
Lattice="4.839 0.000 0.000 0.000 4.839 0.000 0.000 0.000 4.839" Properties=species:S:1:pos:R:3 pbc="T T T"
Nb 0.000 0.000 0.000
Cr 2.420 2.420 2.420
Si 0.000 0.000 2.420
Si 0.000 2.420 0.000
Si 2.420 0.000 0.000
```

Volume (Å³ per atom): 22.666
ΔE_f (raw) (eV per atom): 0.9262
Total energy (eV per atom): -6.27
D(E_F) (states/eV/atom): 0.5658



The following is a PBE calculation of crystalline NbCrSi3 at its relaxed geometry, from Alexandria.

extended XYZ file:
```
5
Lattice="4.379 0.000 0.000 0.000 4.379 0.000 0.000 0.000 4.379" Properties=species:S:1:pos:R:3 pbc="T T T"
Nb 0.000 0.000 0.000
Cr 2.190 2.190 2.190
Si 0.000 2.190 2.190
Si 2.190 0.000 2.190
Si 2.190 2.190 0.000
```

Volume (Å³ per atom): 16.799
ΔE_f (raw) (eV per atom): 0.7132
Total energy (eV per atom): -6.48
D(E_F) (states/eV/atom): 1.1777